The following is a DFT calculation (PBE) of an optimized crystal structure of Pm3UPd12.

Cell and atoms, written as POSCAR:
```
Pm3UPd12
1.0
4.1736 0.0000 0.0000
0.0000 4.1736 0.0000
0.0000 0.0000 16.6431
Pd Pm U
12 3 1
Direct
0.5000 0.5000 0.7537
0.5000 0.0000 0.6264
0.0000 0.5000 0.1183
0.0000 0.5000 0.8817
0.5000 0.5000 0.5000
0.5000 0.5000 0.2463
0.5000 0.0000 0.1183
0.0000 0.5000 0.3736
0.0000 0.5000 0.6264
0.5000 0.0000 0.8817
0.5000 0.5000 0.0000
0.5000 0.0000 0.3736
0.0000 0.0000 0.5000
0.0000 0.0000 0.2518
0.0000 0.0000 0.7482
0.0000 0.0000 0.0000
```

Summary:
* space-group type: P4/mmm, No. 123
* ΔH_f (0 K): -751 meV per atom

The following is a DFT calculation (PBE) of an optimized crystal structure of PmVPd.

Cell and atoms, written as POSCAR:
```
PmVPd
1.0
-3.2174 -3.3160 2.1057
3.2843 -0.2136 -1.4400
3.9462 1.7243 8.7448
V Pd Pm
2 2 2
Direct
0.6944 0.3889 0.5997
0.6944 0.3889 0.4003
0.1944 0.3889 0.5000
0.6944 0.3889 0.0000
0.1944 0.3889 0.1819
0.1944 0.3889 0.8181
```

Summary:
* space-group type: P4/mmm, No. 123
* ΔH_f (0 K): -83 meV per atom

The following is a DFT calculation (PBE) of an optimized crystal structure of PmYPd3.

Cell and atoms, written as POSCAR:
```
PmYPd3
1.0
-5.6741 2.8613 -2.7269
-3.2849 0.3908 7.2453
3.1074 7.1378 1.0238
Y Pd Pm
4 12 4
Direct
0.2154 0.6335 0.0000
0.7154 0.8665 0.5000
0.2846 0.1335 0.5000
0.7846 0.3665 0.0000
0.1153 0.3545 0.2500
0.3847 0.8545 0.7500
0.3847 0.8545 0.2500
0.6153 0.1455 0.2500
0.8847 0.6455 0.2500
0.0000 0.0000 0.2590
0.8847 0.6455 0.7500
0.5000 0.5000 0.2410
0.6153 0.1455 0.7500
0.0000 0.0000 0.7410
0.1153 0.3545 0.7500
0.5000 0.5000 0.7590
0.7818 0.3643 0.5000
0.2818 0.1356 0.0000
0.2182 0.6357 0.5000
0.7182 0.8644 0.0000
```

Summary:
* space-group type: Pnnm, No. 58
* ΔE to the lowest computed polymorph: 0.000 eV/atom
* ΔH_f (0 K): -819 meV per atom

The following is a DFT calculation (PBE) of an optimized crystal structure of Pm2YPd2.

Cell and atoms, written as POSCAR:
```
Pm2YPd2
1.0
-3.6554 -2.7951 -0.0288
1.3583 -1.8296 5.1730
-6.9558 9.0959 0.0689
Pd Pm Y
4 4 2
Direct
0.7500 0.6746 0.0281
0.7500 0.1113 0.3585
0.2500 0.3254 0.9719
0.2500 0.8887 0.6415
0.2500 0.7650 0.8780
0.7500 0.2350 0.1220
0.7500 0.7087 0.4624
0.2500 0.2913 0.5376
0.7500 0.1903 0.7914
0.2500 0.8097 0.2086
```

Summary:
* space-group type: P2_1/m, No. 11
* ΔE to the lowest computed polymorph: 0.054 eV/atom
* ΔH_f (0 K): -621 meV per atom

The following is a DFT calculation (PBE) of an optimized crystal structure of Pm5Y3Pd12.

Cell and atoms, written as POSCAR:
```
Pm5Y3Pd12
1.0
14.1500 0.0000 0.0000
-4.7167 13.3408 0.0000
-4.7167 -6.6704 11.5535
Pd Pm Y
48 20 12
Direct
0.9184 0.8433 0.7673
0.7327 0.5816 0.1567
0.2673 0.4184 0.8433
0.4239 0.6567 0.0750
0.0750 0.9184 0.1511
0.8433 0.9184 0.2673
0.6511 0.0761 0.2327
0.3489 0.9239 0.7673
0.4250 0.0761 0.3433
0.6567 0.4239 0.5750
0.6567 0.2327 0.5816
0.6511 0.5750 0.9184
0.4184 0.1511 0.5750
0.9239 0.5750 0.1567
0.1511 0.4184 0.0750
0.9184 0.0750 0.6511
0.9250 0.0816 0.8489
0.0750 0.1567 0.4239
0.0761 0.6511 0.7327
0.7673 0.3433 0.9184
0.0761 0.4250 0.8433
0.2327 0.6567 0.0816
0.9239 0.3489 0.2673
0.0816 0.9250 0.3489
0.7673 0.4239 0.3489
0.4239 0.7673 0.8489
0.2673 0.8489 0.9239
0.9250 0.8433 0.5761
0.5761 0.2327 0.1511
0.5750 0.9239 0.6567
0.1511 0.7327 0.5761
0.8489 0.5816 0.9250
0.8433 0.9250 0.0761
0.1567 0.0750 0.9239
0.4250 0.3489 0.5816
0.5816 0.8489 0.4250
0.1567 0.0816 0.7327
0.5750 0.6511 0.4184
0.7327 0.1511 0.0761
0.4184 0.2673 0.3433
0.0816 0.1567 0.2327
0.8489 0.2673 0.4239
0.2327 0.5761 0.6511
0.3433 0.5761 0.4250
0.5816 0.7327 0.6567
0.3489 0.4250 0.0816
0.5761 0.3433 0.9250
0.3433 0.7673 0.4184
0.3750 0.2500 0.1250
0.5000 0.5000 0.5000
0.7500 0.6250 0.3750
0.7500 0.1250 0.8750
0.5000 0.0000 0.0000
0.1250 0.3750 0.2500
0.1250 0.7500 0.3750
0.8750 0.2500 0.6250
0.5000 0.5000 0.0000
0.2500 0.8750 0.1250
0.0000 0.5000 0.5000
0.2500 0.3750 0.6250
0.3750 0.1250 0.7500
0.0000 0.0000 0.5000
0.0000 0.0000 0.0000
0.5000 0.0000 0.5000
0.8750 0.6250 0.7500
0.6250 0.8750 0.2500
0.0000 0.5000 0.0000
0.6250 0.7500 0.8750
0.7500 0.8750 0.6250
0.3750 0.7500 0.6250
0.1250 0.2500 0.8750
0.2500 0.1250 0.3750
0.8750 0.7500 0.1250
0.6250 0.2500 0.3750
0.3750 0.6250 0.2500
0.1250 0.8750 0.7500
0.2500 0.6250 0.8750
0.7500 0.3750 0.1250
0.6250 0.3750 0.7500
0.8750 0.1250 0.2500
```

Summary:
* space-group type: Ia-3d, No. 230
* ΔH_f (0 K): -315 meV per atom

The following is a DFT calculation (PBE) of an optimized crystal structure of Pm2Y5Pd4.

Cell and atoms, written as POSCAR:
```
Pm2Y5Pd4
1.0
3.7368 0.0000 0.0000
0.0000 6.6000 2.1941
-1.8684 1.6944 12.8792
Y Pd Pm
5 4 2
Direct
0.7275 0.8017 0.4550
0.5000 0.0000 0.0000
0.1313 0.6458 0.2627
0.2725 0.1983 0.5450
0.8687 0.3542 0.7373
0.6807 0.2894 0.3615
0.0213 0.6577 0.0426
0.3193 0.7106 0.6385
0.9787 0.3423 0.9574
0.8965 0.8077 0.7930
0.1035 0.1923 0.2070
```

Summary:
* space-group type: C2/m, No. 12
* ΔH_f (0 K): -459 meV per atom

The following is a DFT calculation (PBE) of an optimized crystal structure of PmY3Pd2.

Cell and atoms, written as POSCAR:
```
PmY3Pd2
1.0
3.7962 0.0000 0.0000
0.0000 8.6538 0.0000
0.0000 0.0000 9.8164
Pd Pm Y
4 2 6
Direct
0.0000 0.2344 0.5756
0.5000 0.2655 0.0718
0.5000 0.7655 0.9282
0.0000 0.7344 0.4244
0.5000 0.5098 0.5670
0.5000 0.0098 0.4330
0.0000 0.4913 0.9347
0.5000 0.1673 0.7876
0.0000 0.3317 0.2818
0.0000 0.9913 0.0653
0.5000 0.6673 0.2124
0.0000 0.8317 0.7182
```

Summary:
* space-group type: Pmc2_1, No. 26
* ΔH_f (0 K): -571 meV per atom

The following is a DFT calculation (PBE) of an optimized crystal structure of Pm2YPd.

Cell and atoms, written as POSCAR:
```
Pm2YPd
1.0
3.8317 0.0000 0.0000
1.9158 3.3183 0.0000
1.9158 1.1061 9.6028
Pd Pm Y
1 2 1
Direct
0.6667 0.6667 0.0000
0.2674 0.2674 0.1979
0.0659 0.0659 0.8024
0.5001 0.5001 0.4998
```

Summary:
* space-group type: R3m, No. 160
* ΔE to the lowest computed polymorph: 0.181 eV/atom
* ΔH_f (0 K): -252 meV per atom